Record 1
Material: BaClF3
Method: DFT, PBE-GGA
State: optimized geometry

abc: 6.7675 8.0736 9.3908
angles: 90.00 127.79 90.00
Atoms (fractional coordinates):
1 Ba 0.0855 0.1459 0.3552
2 Ba 0.0855 0.3541 0.8552
3 Ba 0.9145 0.6459 0.1448
4 Ba 0.9145 0.8541 0.6448
5 Cl 0.3298 0.5601 0.6771
6 Cl 0.3298 0.9399 0.1771
7 Cl 0.6702 0.0601 0.8229
8 Cl 0.6702 0.4399 0.3229
9 F 0.0571 0.1500 0.6200
10 F 0.0571 0.3500 0.1200
11 F 0.2500 0.0288 0.9666
12 F 0.2500 0.4712 0.4666
13 F 0.3931 0.6534 0.8900
14 F 0.3931 0.8466 0.3900
15 F 0.6069 0.1534 0.6100
16 F 0.6069 0.3466 0.1100
17 F 0.7500 0.5288 0.5334
18 F 0.7500 0.9712 0.0334
19 F 0.9429 0.6500 0.8800
20 F 0.9429 0.8500 0.3800

Properties
DOS at the Fermi energy: 0.00 states/eV/atom
Energy above the most stable polymorph in this dataset: 0 meV per atom
Symmetry: No. 14
Magnetic moment: 0.000 μB per formula unit
ΔE_f (raw): -2.459 eV/atom

---

Record 2
Material: LiBeI
Method: DFT, PBE-GGA
State: optimized geometry

abc: 4.2317 5.0621 7.4174
angles: 70.30 83.94 80.28
Atoms (fractional coordinates):
1 Li 0.0000 0.0000 0.0000
2 Li 0.4188 0.5175 0.3472
3 Be 0.1235 0.5075 0.0518
4 Be 0.6155 0.5995 0.0039
5 I 0.0421 0.0764 0.3549
6 I 0.4724 0.3292 0.7891

Properties
Energy above the most stable polymorph in this dataset: 110 meV per atom
Symmetry: No. 1
Magnetic moment: 0.000 μB per formula unit
ΔE_f (raw): -0.149 eV/atom

---

Record 3
Material: Sm2Ho3Sc2
Method: DFT, PBE-GGA
State: optimized geometry

abc: 6.0028 6.0028 7.7880
angles: 97.61 97.61 48.58
Atoms (fractional coordinates):
1 Sm 0.0726 0.0726 0.2225
2 Sm 0.9274 0.9274 0.7775
3 Ho 0.3563 0.3563 0.0707
4 Ho 0.5000 0.5000 0.5000
5 Ho 0.6437 0.6437 0.9293
6 Sc 0.2154 0.2154 0.6407
7 Sc 0.7846 0.7846 0.3593

Properties
ΔH_f (0 K): 4.4 kJ per mole of atoms
DOS at the Fermi energy: 1.47 states/eV/atom
Energy above the most stable polymorph in this dataset: 11 meV per atom
Symmetry: No. 12
Magnetic moment: 0.000 μB per formula unit

---

Record 4
Material: VSnTeRh2
Method: DFT, PBE-GGA
State: optimized geometry

abc: 4.5807 4.5807 5.1403
angles: 90.00 90.00 90.00
Atoms (fractional coordinates):
1 V 0.0000 0.0000 0.0000
2 Sn 0.0000 0.0000 0.5000
3 Te 0.5000 0.5000 0.5000
4 Rh 0.0000 0.5000 0.0000
5 Rh 0.5000 0.0000 0.0000

Properties
DOS at the Fermi energy: 0.83 states/eV/atom
Symmetry: No. 123
Magnetic moment: 0.000 μB per formula unit
ΔE_f (raw): 0.579 eV/atom

---

Record 5
Material: Pm3HoTl2O
Method: DFT, PBE-GGA
State: optimized geometry

abc: 9.0367 9.0367 9.0367
angles: 150.12 149.18 43.46
Atoms (fractional coordinates):
1 Pm 0.0000 0.0000 0.0000
2 Pm 0.3285 0.8285 0.5000
3 Pm 0.6715 0.1715 0.5000
4 Ho 0.5000 0.5000 0.0000
5 Tl 0.1381 0.6381 0.5000
6 Tl 0.8619 0.3619 0.5000
7 O 0.5000 0.0000 0.5000

Properties
DOS at the Fermi energy: 0.42 states/eV/atom
Symmetry: No. 71
Magnetic moment: 0.000 μB per formula unit
ΔE_f (raw): -1.059 eV/atom

---

Record 6
Material: K5Rb4Hg
Method: DFT, PBE-GGA
State: optimized geometry

abc: 10.8662 10.8662 10.8662
angles: 95.83 95.83 142.83
Atoms (fractional coordinates):
1 K 0.0000 0.0000 0.0000
2 K 0.3011 0.3015 0.6604
3 K 0.3015 0.6410 0.0003
4 K 0.6407 0.3011 0.9997
5 K 0.6410 0.6407 0.3396
6 Rb 0.2869 0.9636 0.3218
7 Rb 0.6418 0.9651 0.6782
8 Rb 0.9636 0.6418 0.6767
9 Rb 0.9651 0.2869 0.3233
10 Hg 0.5040 0.5040 0.0000

Properties
ΔH_f (0 K): -3.5 kJ per mole of atoms
DOS at the Fermi energy: 0.77 states/eV/atom
Symmetry: No. 79
Magnetic moment: 0.000 μB per formula unit

---

Record 7
Material: Eu2IrPd
Method: DFT, PBE-GGA
State: optimized geometry

abc: 3.4588 3.4588 7.5307
angles: 90.00 90.00 90.00
Atoms (fractional coordinates):
1 Eu 0.0000 0.0000 0.2389
2 Eu 0.0000 0.0000 0.7611
3 Ir 0.5000 0.5000 0.0000
4 Pd 0.5000 0.5000 0.5000

Properties
ΔH_f (0 K): -41.1 kJ per mole of atoms
DOS at the Fermi energy: 3.84 states/eV/atom
Symmetry: No. 123
Magnetic moment: 13.626 μB per formula unit

---

Record 8
Material: TlPt2O6
Method: DFT, PBE-GGA
State: optimized geometry

abc: 5.3396 5.3396 4.7510
angles: 90.00 90.00 120.00
Atoms (fractional coordinates):
1 Tl 0.0000 0.0000 0.0000
2 Pt 0.3333 0.6667 0.5000
3 Pt 0.6667 0.3333 0.5000
4 O 0.0000 0.3683 0.7288
5 O 0.0000 0.6317 0.2712
6 O 0.3683 0.0000 0.7288
7 O 0.3683 0.3683 0.2712
8 O 0.6317 0.0000 0.2712
9 O 0.6317 0.6317 0.7288

Properties
DOS at the Fermi energy: 0.97 states/eV/atom
Symmetry: No. 162
Magnetic moment: 0.738 μB per formula unit
ΔE_f (raw): -0.480 eV/atom

---

Record 9
Material: Hf2Ru2Au
Method: DFT, PBE-GGA
State: optimized geometry

abc: 7.4045 7.4045 3.2564
angles: 90.00 90.00 90.00
Atoms (fractional coordinates):
1 Hf 0.1608 0.3392 0.0000
2 Hf 0.3392 0.8392 0.0000
3 Hf 0.6608 0.1608 0.0000
4 Hf 0.8392 0.6608 0.0000
5 Ru 0.1379 0.6379 0.5000
6 Ru 0.3621 0.1379 0.5000
7 Ru 0.6379 0.8621 0.5000
8 Ru 0.8621 0.3621 0.5000
9 Au 0.0000 0.0000 0.5000
10 Au 0.5000 0.5000 0.5000

Properties
ΔH_f (0 K): -43.1 kJ per mole of atoms
DOS at the Fermi energy: 0.66 states/eV/atom
Symmetry: No. 127
Magnetic moment: 0.000 μB per formula unit

---

Record 10
Material: InGa2HgI6
Method: DFT, PBE-GGA
State: optimized geometry

abc: 10.6057 10.6057 11.0086
angles: 91.55 91.55 105.96
Atoms (fractional coordinates):
1 In 0.1477 0.8523 0.7500
2 In 0.8523 0.1477 0.2500
3 Ga 0.0016 0.2795 0.7752
4 Ga 0.2795 0.0016 0.2752
5 Ga 0.7205 0.9984 0.7248
6 Ga 0.9984 0.7205 0.2248
7 Hg 0.4043 0.5957 0.2500
8 Hg 0.5957 0.4043 0.7500
9 I 0.0564 0.5349 0.8034
10 I 0.1496 0.8111 0.4370
11 I 0.1727 0.1980 0.2863
12 I 0.1889 0.8504 0.0630
13 I 0.1980 0.1727 0.7863
14 I 0.4651 0.9436 0.6966
15 I 0.5349 0.0564 0.3034
16 I 0.8020 0.8273 0.2137
17 I 0.8111 0.1496 0.9370
18 I 0.8273 0.8020 0.7137
19 I 0.8504 0.1889 0.5630
20 I 0.9436 0.4651 0.1966

Properties
DOS at the Fermi energy: 0.31 states/eV/atom
Symmetry: No. 15
Magnetic moment: 0.000 μB per formula unit
ΔE_f (raw): -0.326 eV/atom

---

Record 11
Material: BaPdN
Method: DFT, PBE-GGA
State: optimized geometry

abc: 7.0438 4.4231 4.4231
angles: 84.88 90.00 90.00
Atoms (fractional coordinates):
1 Ba 0.0000 0.0000 0.0000
2 Ba 0.5000 0.2224 0.2224
3 Pd 0.3035 0.6606 0.6606
4 Pd 0.6965 0.6606 0.6606
5 N 0.0883 0.4397 0.4397
6 N 0.9117 0.4397 0.4397

Properties
DOS at the Fermi energy: 0.56 states/eV/atom
Symmetry: No. 38
Magnetic moment: 0.000 μB per formula unit
ΔE_f (raw): -0.283 eV/atom

---

Record 12
Material: LiZnNi4
Method: DFT, PBE-GGA
State: optimized geometry

abc: 4.7042 4.7042 4.7042
angles: 60.00 60.00 60.00
Atoms (fractional coordinates):
1 Li 0.0000 0.0000 0.0000
2 Zn 0.7500 0.7500 0.7500
3 Ni 0.3750 0.3750 0.3750
4 Ni 0.3750 0.3750 0.8749
5 Ni 0.3750 0.8749 0.3750
6 Ni 0.8749 0.3750 0.3750

Properties
ΔH_f (0 K): -5.1 kJ per mole of atoms
DOS at the Fermi energy: 0.89 states/eV/atom
Energy above the most stable polymorph in this dataset: 6 meV per atom
Symmetry: No. 216
Magnetic moment: 0.903 μB per formula unit

---

Record 13
Material: NpBi3Pb2
Method: DFT, PBE-GGA
State: optimized geometry

abc: 8.9487 8.9487 4.6163
angles: 90.00 90.00 149.65
Atoms (fractional coordinates):
1 Np 0.0000 0.0000 0.0000
2 Bi 0.1468 0.8532 0.5000
3 Bi 0.5000 0.5000 0.5000
4 Bi 0.8532 0.1468 0.5000
5 Pb 0.3302 0.6698 0.0000
6 Pb 0.6698 0.3302 0.0000

Properties
ΔH_f (0 K): 4.2 kJ per mole of atoms
DOS at the Fermi energy: 2.46 states/eV/atom
Symmetry: No. 65
Magnetic moment: 4.448 μB per formula unit

---

Record 14
Material: Sm2DyGa2Ag2
Method: DFT, PBE-GGA
State: optimized geometry

abc: 9.4756 9.4756 9.4756
angles: 28.23 28.23 28.23
Atoms (fractional coordinates):
1 Sm 0.1249 0.1249 0.1249
2 Sm 0.8751 0.8751 0.8751
3 Dy 0.0000 0.0000 0.0000
4 Ga 0.2620 0.2620 0.2620
5 Ga 0.7380 0.7380 0.7380
6 Ag 0.3938 0.3938 0.3938
7 Ag 0.6062 0.6062 0.6062

Properties
ΔH_f (0 K): -36.0 kJ per mole of atoms
DOS at the Fermi energy: 0.77 states/eV/atom
Symmetry: No. 166
Magnetic moment: 0.001 μB per formula unit

---

Record 15
Material: ScAsCl
Method: DFT, PBE-GGA
State: optimized geometry

abc: 4.5259 4.5259 3.3028
angles: 90.00 90.00 120.00
Atoms (fractional coordinates):
1 Sc 0.0000 0.0000 0.0000
2 As 0.3333 0.6667 0.5000
3 Cl 0.6667 0.3333 0.0000

Properties
DOS at the Fermi energy: 0.84 states/eV/atom
Energy above the most stable polymorph in this dataset: 410 meV per atom
Symmetry: No. 187
Magnetic moment: 0.000 μB per formula unit
ΔE_f (raw): -0.879 eV/atom

---

Record 16
Material: Ti6Ni5Pd
Method: DFT, PBE-GGA
State: optimized geometry

abc: 7.5019 7.5019 7.5019
angles: 147.46 131.46 59.66
Atoms (fractional coordinates):
1 Ti 0.0705 0.3258 0.7447
2 Ti 0.2416 0.0000 0.2416
3 Ti 0.4189 0.6742 0.7447
4 Ti 0.5811 0.3258 0.2553
5 Ti 0.7584 0.0000 0.7584
6 Ti 0.9295 0.6742 0.2553
7 Ni 0.0000 0.5000 0.5000
8 Ni 0.1517 0.1517 0.0000
9 Ni 0.3450 0.8450 0.5000
10 Ni 0.6550 0.1550 0.5000
11 Ni 0.8483 0.8483 0.0000
12 Pd 0.5000 0.5000 0.0000

Properties
ΔH_f (0 K): -35.2 kJ per mole of atoms
DOS at the Fermi energy: 1.35 states/eV/atom
Symmetry: No. 71
Magnetic moment: 0.000 μB per formula unit

---

Record 17
Material: YBe2In2
Method: DFT, PBE-GGA
State: optimized geometry

abc: 6.1236 6.1236 6.1236
angles: 139.63 139.63 58.41
Atoms (fractional coordinates):
1 Y 0.0000 0.0000 0.0000
2 Be 0.2500 0.7500 0.5000
3 Be 0.7500 0.2500 0.5000
4 In 0.3702 0.3702 0.0000
5 In 0.6298 0.6298 0.0000

Properties
ΔH_f (0 K): -2.3 kJ per mole of atoms
DOS at the Fermi energy: 0.29 states/eV/atom
Symmetry: No. 139
Magnetic moment: 0.000 μB per formula unit

---

Record 18
Material: Ca3MgP2Pd9
Method: DFT, PBE-GGA
State: optimized geometry

abc: 6.0765 6.0765 9.8021
angles: 90.00 90.00 120.00
Atoms (fractional coordinates):
1 Ca 0.0000 0.0000 0.0000
2 Ca 0.3333 0.6667 0.6999
3 Ca 0.6667 0.3333 0.3001
4 Mg 0.0000 0.0000 0.5000
5 P 0.3333 0.6667 0.1576
6 P 0.6667 0.3333 0.8424
7 Pd 0.0000 0.5000 0.0000
8 Pd 0.1499 0.2999 0.2765
9 Pd 0.1499 0.8501 0.2765
10 Pd 0.2999 0.1499 0.7235
11 Pd 0.5000 0.0000 0.0000
12 Pd 0.5000 0.5000 0.0000
13 Pd 0.7001 0.8501 0.2765
14 Pd 0.8501 0.1499 0.7235
15 Pd 0.8501 0.7001 0.7235

Properties
ΔH_f (0 K): -59.4 kJ per mole of atoms
DOS at the Fermi energy: 0.32 states/eV/atom
Symmetry: No. 164
Magnetic moment: 0.000 μB per formula unit

---

Record 19
Material: Ba3SnI
Method: DFT, PBE-GGA
State: optimized geometry

abc: 6.7544 6.7544 6.7544
angles: 90.00 90.00 90.00
Atoms (fractional coordinates):
1 Ba 0.0000 0.0000 0.5000
2 Ba 0.0000 0.5000 0.0000
3 Ba 0.5000 0.0000 0.0000
4 Sn 0.0000 0.0000 0.0000
5 I 0.5000 0.5000 0.5000

Properties
DOS at the Fermi energy: 0.75 states/eV/atom
Energy above the most stable polymorph in this dataset: 149 meV per atom
Symmetry: No. 221
Magnetic moment: 0.000 μB per formula unit
ΔE_f (raw): -0.545 eV/atom

---

Record 20
Material: Mg2Co5Si2Ni
Method: DFT, PBE-GGA
State: optimized geometry

abc: 8.9843 8.9843 3.1163
angles: 90.00 90.00 90.00
Atoms (fractional coordinates):
1 Mg 0.1720 0.3280 0.0000
2 Mg 0.3280 0.8280 0.0000
3 Mg 0.6720 0.1720 0.0000
4 Mg 0.8280 0.6720 0.0000
5 Co 0.0000 0.5000 0.5000
6 Co 0.0660 0.7998 0.5000
7 Co 0.2002 0.0660 0.5000
8 Co 0.2998 0.5660 0.5000
9 Co 0.4340 0.2998 0.5000
10 Co 0.5000 0.0000 0.5000
11 Co 0.5660 0.7002 0.5000
12 Co 0.7002 0.4340 0.5000
13 Co 0.7998 0.9340 0.5000
14 Co 0.9340 0.2002 0.5000
15 Si 0.1275 0.6275 0.0000
16 Si 0.3725 0.1275 0.0000
17 Si 0.6275 0.8725 0.0000
18 Si 0.8725 0.3725 0.0000
19 Ni 0.0000 0.0000 0.0000
20 Ni 0.5000 0.5000 0.0000

Properties
DOS at the Fermi energy: 1.04 states/eV/atom
Symmetry: No. 127
Magnetic moment: 3.053 μB per formula unit
ΔE_f (raw): -0.132 eV/atom

---

Record 21
Material: AlTcI2N
Method: DFT, PBE-GGA
State: optimized geometry

abc: 5.6616 5.6616 3.7829
angles: 90.00 90.00 90.00
Atoms (fractional coordinates):
1 Al 0.0000 0.0000 0.0000
2 Tc 0.5000 0.5000 0.5000
3 I 0.0000 0.5000 0.5000
4 I 0.5000 0.0000 0.5000
5 N 0.5000 0.5000 0.0000

Properties
DOS at the Fermi energy: 0.86 states/eV/atom
Energy above the most stable polymorph in this dataset: 0 meV per atom
Symmetry: No. 123
Magnetic moment: 0.001 μB per formula unit
ΔE_f (raw): 0.364 eV/atom

---

Record 22
Material: CeIn6Ag6
Method: DFT, PBE-GGA
State: optimized geometry

abc: 7.5424 7.5424 7.5424
angles: 134.40 99.33 97.95
Atoms (fractional coordinates):
1 Ce 0.0000 0.0000 0.0000
2 In 0.1870 0.6870 0.5000
3 In 0.3451 0.0000 0.3451
4 In 0.3445 0.3445 0.0000
5 In 0.6549 0.0000 0.6549
6 In 0.6555 0.6555 0.0000
7 In 0.8130 0.3130 0.5000
8 Ag 0.0000 0.0000 0.5000
9 Ag 0.0000 0.5000 0.0000
10 Ag 0.2325 0.5000 0.7325
11 Ag 0.5000 0.0000 0.0000
12 Ag 0.5000 0.5000 0.5000
13 Ag 0.7675 0.5000 0.2675

Properties
ΔH_f (0 K): -14.5 kJ per mole of atoms
DOS at the Fermi energy: 0.80 states/eV/atom
Symmetry: No. 71
Magnetic moment: 1.179 μB per formula unit

---

Record 23
Material: Er5Zn2Ga5
Method: DFT, PBE-GGA
State: optimized geometry

abc: 8.0729 8.0729 8.0729
angles: 148.19 110.06 78.88
Atoms (fractional coordinates):
1 Er 0.0000 0.0000 0.0000
2 Er 0.1674 0.8578 0.3097
3 Er 0.4519 0.1422 0.3097
4 Er 0.5481 0.8578 0.6903
5 Er 0.8326 0.1422 0.6903
6 Zn 0.1599 0.6599 0.5000
7 Zn 0.8401 0.3401 0.5000
8 Ga 0.2062 0.5000 0.7062
9 Ga 0.2644 0.2644 0.0000
10 Ga 0.5000 0.5000 0.0000
11 Ga 0.7356 0.7356 0.0000
12 Ga 0.7938 0.5000 0.2938

Properties
ΔH_f (0 K): -51.6 kJ per mole of atoms
DOS at the Fermi energy: 0.40 states/eV/atom
Symmetry: No. 71
Magnetic moment: 0.000 μB per formula unit